First-principles (GGA-PBE) data for a relaxed ScAl2Os crystal, as listed in Alexandria.

Summary:
Energy: -26.60 eV/cell
Formation energy from the elements: -0.3872 eV per atom
Total magnetization: 0.0 μB/cell
Fermi-level density of states: 2.1 states/eV/cell

Cell: 3.8989 3.8989 4.2137 Å, 90.00 90.00 90.00°
Space group P4/mmm (No. 123)
Inequivalent atoms, fractional coordinates:
Sc 0.0000 0.0000 0.0000 x1
Al 0.0000 0.5000 0.5000 x2
Os 0.5000 0.5000 0.0000 x1


First-principles (GGA-PBE) data for a relaxed BAsC2 crystal, as listed in Alexandria.

Summary:
Energy: -112.73 eV/cell
Formation energy from the elements: 0.3980 eV per atom
Total magnetization: 0.0 μB/cell
ΔE to the lowest computed polymorph: 0 meV/atom
Fermi-level density of states: 0.0 states/eV/cell

Cell: 4.1955 4.1955 8.3775 Å, 90.00 90.00 90.00°
Space group I-42d (No. 122)
Inequivalent atoms, fractional coordinates:
B 0.0000 0.0000 0.0000 x4
As 0.0000 0.0000 0.5000 x4
C 0.1998 0.2500 0.1250 x8


First-principles (GGA-PBE) data for a relaxed W4Cl5 crystal, as listed in Alexandria.

Summary:
Energy: -110.91 eV/cell
ΔE_f (raw): 621.1 meV per atom
Total magnetization: 0.8 μB/cell
Fermi-level density of states: 17.5 states/eV/cell

Cell: 10.2449 10.2449 3.1905 Å, 90.00 90.00 90.00°
Space group I4/mmm (No. 139)
Inequivalent atoms, fractional coordinates:
W 0.0000 0.3555 0.0000 x8
Cl 0.0000 0.0000 0.0000 x2
Cl 0.1635 0.1635 0.5000 x8